DFT (PBE-GGA) results for crystalline LaPm7Ho4 at its relaxed geometry.

Computed properties:
The value obtained for the density of states at the Fermi level is 18.14 states/eV/cell. The calculation puts the energy of formation from the pure elements at 2.9 eV/f.u. The crystal system is monoclinic.

```
LaPm7Ho4
1.0
6.026 0.000 0.000
3.013 11.275 -0.229
3.013 0.176 6.064
Pm Ho La
7 4 1
Direct
0.631 0.496 0.242 Pm
0.791 0.920 0.498 Pm
0.942 0.333 0.782 Pm
0.500 0.000 0.000 Pm
0.209 0.080 0.502 Pm
0.058 0.667 0.218 Pm
0.369 0.504 0.758 Pm
0.633 0.225 0.509 Ho
0.255 0.315 0.176 Ho
0.367 0.775 0.491 Ho
0.745 0.685 0.824 Ho
0.000 0.000 0.000 La
```